(1)
Pm8Ni3IrI4 | GGA-PBE | optimized geometry

Output
Volume: 1425.2 Å³/cell
E_form (uncorrected): -752 meV/atom
D(E_F): 0.666 states/eV per atom
E: -247.3 eV for the cell shown

Geometry as CIF:
```
data_Pm8Ni3IrI4
_space_group_name_H-M_alt 'R -3 m'
_space_group_IT_number 166
_space_group_name_Hall '-R 3 2"'
_cell_length_a 8.2552
_cell_length_b 8.2552
_cell_length_c 24.1451
_cell_angle_alpha 90.00
_cell_angle_beta 90.00
_cell_angle_gamma 120.00
loop_
_atom_site_label
_atom_site_type_symbol
_atom_site_fract_x
_atom_site_fract_y
_atom_site_fract_z
Pm1 Pm 0.0000 0.0000 0.2268
Pm2 Pm 0.0019 0.5010 0.7720
Ni1 Ni 0.0000 0.5000 0.5000
Ir1 Ir 0.0000 0.0000 0.5000
I1 I 0.0000 0.0000 0.0000
I2 I 0.0000 0.5000 0.0000
```

(2)
La8Pm5Pu | GGA-PBE | optimized geometry

Output
Volume: 992.7 Å³/cell
D(E_F): 1.760 states/eV per atom
E: -148.8 eV for the cell shown
Calculated formation energy: 0.221 eV per atom

Geometry as CIF:
```
data_La8Pm5Pu
_space_group_name_H-M_alt 'C 1 2 1'
_space_group_IT_number 5
_space_group_name_Hall 'C 2y'
_cell_length_a 13.956
_cell_length_b 10.169
_cell_length_c 9.877
_cell_angle_alpha 90.00
_cell_angle_beta 134.91
_cell_angle_gamma 90.00
loop_
_atom_site_label
_atom_site_type_symbol
_atom_site_fract_x
_atom_site_fract_y
_atom_site_fract_z
La1 La 0.063 0.000 0.228
La2 La 0.074 0.337 0.364
La3 La 0.164 0.674 0.101
La4 La 0.210 0.838 0.783
Pm1 Pm 0.000 0.088 0.500
Pm2 Pm 0.099 0.671 0.399
Pm3 Pm 0.201 0.504 0.800
Pu1 Pu 0.000 0.337 0.000
```

(3)
K2Cd2Ag15 | GGA-PBE | optimized geometry

Output
Volume: 1213.2 Å³/cell
D(E_F): 0.294 states/eV per atom
E: -140.1 eV for the cell shown
Calculated formation energy: 0.005 eV per atom

Geometry as CIF:
```
data_K2Cd2Ag15
_space_group_name_H-M_alt 'R -3 m'
_space_group_IT_number 166
_space_group_name_Hall '-R 3 2"'
_cell_length_a 9.8661
_cell_length_b 9.8661
_cell_length_c 14.3919
_cell_angle_alpha 90.00
_cell_angle_beta 90.00
_cell_angle_gamma 120.00
loop_
_atom_site_label
_atom_site_type_symbol
_atom_site_fract_x
_atom_site_fract_y
_atom_site_fract_z
K1 K 0.0000 0.0000 0.1515
Cd1 Cd 0.0000 0.0000 0.3999
Ag1 Ag 0.0000 0.3000 0.5000
Ag2 Ag 0.0000 0.5000 0.0000
Ag3 Ag 0.0034 0.5017 0.3452
```

Look up the E of the first one.
-247.3 eV for the cell shown